The following is a PBE-GGA calculation of an optimized crystal structure of Nd3Re2N6, from the Alexandria database.

Output
The value obtained for the density of states at the Fermi level is 5.0 states/eV per cell. The space group is I4/mmm, No. 139. The value obtained for the total energy is -98.570 eV per cell. The calculation puts the uncorrected formation energy at -9.42 eV/f.u. As for the spin magnetization: 0.00 μB/f.u.

Cell and atoms, written as extended XYZ:
```
11
Lattice="-0.1047 -2.9013 -2.6649 2.8947 -1.8649 1.9166 -8.0456 -2.3622 5.8014" Properties=species:S:1:pos:R:3 pbc="T T T"
Nd -2.4507 -1.7486 1.9999
Nd 0.0000 0.0000 0.0000
Re 0.1702 -3.2570 0.6254
Nd -2.8049 -5.3798 3.0532
N -1.2146 -2.2799 -0.3840
N -4.0318 -2.8767 3.2902
N -4.0410 -4.8484 5.4371
N -1.2238 -4.2516 1.7629
N -5.5407 -5.3666 3.1463
Re -5.4258 -3.8714 4.4277
N 0.2851 -1.7617 1.9068
```

The following is a PBE-GGA calculation of an optimized crystal structure of Na2H2SCl2, from the Alexandria database.

Output
The space group is C2/m, No. 12. The value obtained for the total energy is -22.007 eV per cell. As for the spin magnetization: 0.00 μB/f.u.

Cell and atoms, written as extended XYZ:
```
7
Lattice="3.6328 0.0000 0.0000 1.8164 5.4716 -0.4049 1.8164 1.6733 6.2694" Properties=species:S:1:pos:R:3 pbc="T T T"
Cl 5.4492 4.9573 3.9220
Na 3.6328 2.5295 4.1930
Na 3.6328 4.6154 1.6715
Cl 1.8164 2.1876 1.9426
H 3.6328 6.0010 5.0271
H 3.6328 1.1439 0.8375
S 0.0000 0.0000 0.0000
```

The following is a PBE-GGA calculation of an optimized crystal structure of Co11Ni3, from the Alexandria database.

Output
The value obtained for the density of states at the Fermi level is 14.1 states/eV per cell. The space group is Immm, No. 71. The value obtained for the total energy is -92.806 eV per cell. As for the spin magnetization: 20.55 μB/f.u.

Cell and atoms, written as extended XYZ:
```
14
Lattice="-2.8904 1.9751 -1.6534 -4.4426 -4.5425 -2.1928 -4.5593 1.1444 4.8045" Properties=species:S:1:pos:R:3 pbc="T T T"
Co -3.5846 -2.2305 -0.9309
Co -9.6581 -1.0027 2.0873
Co -8.3078 0.8075 1.8891
Co -5.9634 0.1249 1.5083
Co -9.6293 -2.4056 0.3611
Co -5.9290 -1.5480 -0.5501
Ni -7.3384 -1.9356 1.4507
Co -2.2343 -0.4203 -1.1290
Ni -4.5539 0.5125 -0.4925
Co -4.5010 -1.6991 1.3058
Co -2.2631 0.9826 0.5971
Co -3.6385 0.3963 2.3012
Ni 0.0000 0.0000 0.0000
Co -8.2539 -1.8193 -1.3430
```

The following is a PBE-GGA calculation of an optimized crystal structure of VSiTc3, from the Alexandria database.

Output
The value obtained for the density of states at the Fermi level is 5.7 states/eV per cell. The space group is Pm-3m, No. 221. The value obtained for the total energy is -41.562 eV per cell. For the energy above the most stable polymorph in this dataset, the calculation gives 0 meV/atom. The calculation puts the uncorrected formation energy at 4.08 eV/f.u. As for the spin magnetization: 0.00 μB/f.u.

Cell and atoms, written as extended XYZ:
```
5
Lattice="4.3516 0.0000 0.0000 0.0000 4.3516 0.0000 0.0000 0.0000 4.3516" Properties=species:S:1:pos:R:3 pbc="T T T"
Tc 2.1758 0.0000 0.0000
Si 0.0000 0.0000 0.0000
Tc 0.0000 2.1758 0.0000
Tc 0.0000 0.0000 2.1758
V 2.1758 2.1758 2.1758
```

The following is a PBE-GGA calculation of an optimized crystal structure of IrOsAu, from the Alexandria database.

Output
The value obtained for the density of states at the Fermi level is 3.8 states/eV per cell. The space group is Fmm2, No. 42. The value obtained for the total energy is -21.747 eV per cell. For the energy above the most stable polymorph in this dataset, the calculation gives 258 meV/atom. As for the spin magnetization: 0.45 μB/f.u.

Cell and atoms, written as extended XYZ:
```
3
Lattice="-4.1041 3.9639 5.1623 -5.1672 1.4159 5.1627 1.7957 0.7611 1.9541" Properties=species:S:1:pos:R:3 pbc="T T T"
Ir -1.8039 2.2633 4.6767
Os -5.6733 3.8782 7.6035
Au -9.2698 5.3792 10.3239
```

The following is a PBE-GGA calculation of an optimized crystal structure of Mn3BiSe, from the Alexandria database.

Output
The value obtained for the density of states at the Fermi level is 5.2 states/eV per cell. The space group is Pm-3m, No. 221. The value obtained for the total energy is -32.382 eV per cell. For the energy above the most stable polymorph in this dataset, the calculation gives 0 meV/atom. The calculation puts the uncorrected formation energy at 2.49 eV/f.u. As for the spin magnetization: 10.45 μB/f.u.

Cell and atoms, written as extended XYZ:
```
5
Lattice="4.6894 0.0000 0.0000 0.0000 4.6894 0.0000 0.0000 0.0000 4.6894" Properties=species:S:1:pos:R:3 pbc="T T T"
Mn 0.0000 2.3447 0.0000
Mn 2.3447 0.0000 0.0000
Mn 0.0000 0.0000 2.3447
Se 0.0000 0.0000 0.0000
Bi 2.3447 2.3447 2.3447
```

The following is a PBE-GGA calculation of an optimized crystal structure of Ho2PuPd, from the Alexandria database.

Output
The value obtained for the density of states at the Fermi level is 10.8 states/eV per cell. The space group is R-3m, No. 166. The value obtained for the total energy is -28.742 eV per cell. For the energy above the most stable polymorph in this dataset, the calculation gives 336 meV/atom. As for the spin magnetization: 6.35 μB/f.u.

Cell and atoms, written as extended XYZ:
```
4
Lattice="3.4831 0.0000 0.0000 1.7415 3.0164 0.0000 1.7415 1.0055 10.6481" Properties=species:S:1:pos:R:3 pbc="T T T"
Ho 5.2246 3.0164 3.3100
Pd 3.4831 2.0109 5.3241
Pu 0.0000 0.0000 0.0000
Ho 1.7415 1.0055 7.3381
```

The following is a PBE-GGA calculation of an optimized crystal structure of PrDy4Tl, from the Alexandria database.

Output
The value obtained for the density of states at the Fermi level is 16.9 states/eV per cell. The space group is Pmmn, No. 59. The value obtained for the total energy is -52.140 eV per cell. For the energy above the most stable polymorph in this dataset, the calculation gives 17 meV/atom. As for the spin magnetization: 0.00 μB/f.u.

Cell and atoms, written as extended XYZ:
```
12
Lattice="-1.8414 2.6307 4.5318 -6.6343 -7.2840 -5.2809 2.4410 -5.0806 3.9411" Properties=species:S:1:pos:R:3 pbc="T T T"
Dy -2.9550 -7.3469 1.3610
Pr -3.7696 -4.5854 -0.5757
Dy -3.8053 -7.9923 -2.0141
Dy -4.9977 -5.5106 -3.9392
Tl -0.3901 -0.9071 2.0728
Pr -2.2651 -5.1485 3.7677
Tl -5.6445 -8.8267 1.1192
Dy -2.2293 -1.7416 5.2061
Dy -6.7088 -6.1973 -0.8332
Dy -3.0797 -2.3870 1.8310
Dy 0.6742 -3.5366 4.0252
Dy -1.0370 -4.2233 7.1312
```

The following is a PBE-GGA calculation of an optimized crystal structure of La7Tb4Ho, from the Alexandria database.

Output
The value obtained for the density of states at the Fermi level is 19.3 states/eV per cell. The space group is P-1, No. 2. The value obtained for the total energy is -57.369 eV per cell. For the energy above the most stable polymorph in this dataset, the calculation gives 0 meV/atom. As for the spin magnetization: 0.00 μB/f.u.

Cell and atoms, written as extended XYZ:
```
12
Lattice="7.0564 1.8843 0.9307 5.2484 7.8367 2.5423 -1.0517 -0.4746 9.0417" Properties=species:S:1:pos:R:3 pbc="T T T"
Ho 0.0000 0.0000 0.0000
La 7.9247 5.3288 1.9933
Tb 7.1875 6.5070 5.3197
La 3.5282 0.9421 0.4654
La 4.9489 6.2148 8.2211
Tb 4.0656 2.7394 7.1950
La 3.6443 5.5325 4.8836
La 3.3284 3.9175 10.5215
La 7.6088 3.7139 7.6311
Tb 8.4777 7.1550 8.6661
Tb 2.7754 2.0913 3.8486
La 6.3042 3.0316 4.2936
```

The following is a PBE-GGA calculation of an optimized crystal structure of HfHgAsSe2, from the Alexandria database.

Output
The value obtained for the density of states at the Fermi level is 5.3 states/eV per cell. The space group is P4/mmm, No. 123. The value obtained for the total energy is -22.849 eV per cell. For the energy above the most stable polymorph in this dataset, the calculation gives 0 meV/atom. The calculation puts the uncorrected formation energy at -0.98 eV/f.u. As for the spin magnetization: 0.00 μB/f.u.

Cell and atoms, written as extended XYZ:
```
5
Lattice="5.1355 0.0000 0.0000 0.0000 5.1355 0.0000 0.0000 0.0000 5.3551" Properties=species:S:1:pos:R:3 pbc="T T T"
Se 0.0000 2.5678 0.0000
Hg 2.5678 2.5678 2.6776
As 0.0000 0.0000 2.6776
Hf 0.0000 0.0000 0.0000
Se 2.5678 0.0000 0.0000
```

The following is a PBE-GGA calculation of an optimized crystal structure of CaHfPt3, from the Alexandria database.

Output
The value obtained for the density of states at the Fermi level is 2.9 states/eV per cell. The space group is Pm-3m, No. 221. The value obtained for the total energy is -31.134 eV per cell. As for the spin magnetization: 0.00 μB/f.u.

Cell and atoms, written as extended XYZ:
```
5
Lattice="-1.2901 3.8575 2.8884 0.3718 -2.9016 4.0411 4.8047 1.2603 0.4629" Properties=species:S:1:pos:R:3 pbc="T T T"
Ca 1.9432 1.1081 3.6962
Pt -0.6450 1.9288 1.4442
Hf 0.0000 0.0000 0.0000
Pt 2.4024 0.6301 0.2314
Pt 0.1859 -1.4508 2.0206
```

The following is a PBE-GGA calculation of an optimized crystal structure of ScReAu2, from the Alexandria database.

Output
The value obtained for the density of states at the Fermi level is 1.2 states/eV per cell. The space group is P4mm, No. 99. The value obtained for the total energy is -25.402 eV per cell. For the energy above the most stable polymorph in this dataset, the calculation gives 37 meV/atom. As for the spin magnetization: 0.00 μB/f.u.

Cell and atoms, written as extended XYZ:
```
4
Lattice="3.4383 0.0000 0.0000 0.0000 3.4357 0.0000 0.0000 0.0000 5.9781" Properties=species:S:1:pos:R:3 pbc="T T T"
Re 0.0000 0.0000 2.9009
Au 1.7191 1.7178 1.5991
Sc 1.7191 1.7178 4.4843
Au 0.0000 0.0000 5.9610
```

What is the formula in the seventh record? Ho2PuPd

Please write out number 2 again, unchanged.
The following is a PBE-GGA calculation of an optimized crystal structure of Na2H2SCl2, from the Alexandria database.

Output
The space group is C2/m, No. 12. The value obtained for the total energy is -22.007 eV per cell. As for the spin magnetization: 0.00 μB/f.u.

Cell and atoms, written as extended XYZ:
```
7
Lattice="3.6328 0.0000 0.0000 1.8164 5.4716 -0.4049 1.8164 1.6733 6.2694" Properties=species:S:1:pos:R:3 pbc="T T T"
Cl 5.4492 4.9573 3.9220
Na 3.6328 2.5295 4.1930
Na 3.6328 4.6154 1.6715
Cl 1.8164 2.1876 1.9426
H 3.6328 6.0010 5.0271
H 3.6328 1.1439 0.8375
S 0.0000 0.0000 0.0000
```